Record 1
A relaxed TlAgBiPt2 crystal, computed with PBE.

## Properties
- Fermi-level density of states: 2.735 states/eV per cell
- Magnetization: 0.00 μB per formula unit
- DFT formation energy: 0.8073 eV/atom

Unit cell a=5.087 b=5.072 c=5.087 alpha=90.00 beta=90.00 gamma=90.00
Fractional positions:
Ag (0.000, 0.500, 0.000)
Pt (0.500, 0.000, 0.000)
Pt (0.000, 0.000, 0.500)
Tl (0.000, 0.000, 0.000)
Bi (0.500, 0.500, 0.500)



Record 2
A relaxed BeZnAg2 crystal, computed with PBE.

## Properties
- Fermi-level density of states: 1.327 states/eV per cell
- Magnetization: 0.00 μB per formula unit
- DFT formation energy: 0.1418 eV/atom
- Distance to the lowest polymorph of the same formula: 6.8 kJ/mol of atoms

Unit cell a=8.775 b=8.775 c=8.775 alpha=18.56 beta=18.56 gamma=18.56
Fractional positions:
Ag (0.508, 0.508, 0.508)
Ag (0.992, 0.992, 0.992)
Zn (0.750, 0.750, 0.750)
Be (0.250, 0.250, 0.250)



Record 3
A relaxed Y2TmBi2Te2 crystal, computed with PBE.

## Properties
- Fermi-level density of states: 4.660 states/eV per cell
- Magnetization: 0.00 μB per formula unit
- Uncorrected formation energy: -0.545 eV/atom

Unit cell a=5.821 b=5.821 c=8.655 alpha=109.65 beta=109.65 gamma=90.00
Fractional positions:
Te (0.196, 0.196, 0.391)
Te (0.804, 0.804, 0.609)
Y (0.616, 0.616, 0.231)
Y (0.384, 0.384, 0.769)
Bi (0.000, 0.500, 0.000)
Bi (0.500, 0.000, 0.000)
Tm (0.000, 0.000, 0.000)



Record 4
A relaxed Zn2AgPt crystal, computed with PBE.

## Properties
- Fermi-level density of states: 2.203 states/eV per cell
- Magnetization: 0.00 μB per formula unit
- DFT formation energy: -0.0222 eV/atom

Unit cell a=3.946 b=3.946 c=9.330 alpha=77.79 beta=77.79 gamma=90.00
Fractional positions:
Zn (0.099, 0.625, 0.250)
Zn (0.651, 0.125, 0.250)
Zn (0.875, 0.901, 0.750)
Zn (0.375, 0.349, 0.750)
Pt (0.750, 0.250, 0.500)
Pt (0.000, 0.000, 0.000)
Ag (0.500, 0.500, 0.000)
Ag (0.250, 0.750, 0.500)